No. 1
Here is Ta2Al after structural relaxation from OQMD via LeMat-Bulk. Energies are from GGA-PBE.

The structure in extended XYZ format:
```
6
Lattice="-1.500 6.828 4.249 0.963 0.057 8.124 6.186 4.171 3.356" Properties=species:S:1:pos:R:3 pbc="T T T"
Ta 1.369 7.560 8.023
Ta 2.600 4.175 9.960
Ta 2.119 4.146 5.898
Ta 5.211 6.232 7.576
Al 1.412 2.764 3.932
Al 2.825 5.528 7.864
```

Results
DFT total energy ... -5.141 eV/atom
Theoretical density ... 3.3 g cm⁻³



No. 2
Here is Ta28Al after structural relaxation from OQMD via LeMat-Bulk. Energies are from GGA-PBE.

The structure in extended XYZ format:
```
29
Lattice="7.866 1.441 3.922 -5.783 6.276 2.549 -3.078 -8.014 2.375" Properties=species:S:1:pos:R:3 pbc="T T T"
Ta -1.704 0.986 6.026
Ta -4.376 -2.953 2.620
Ta 2.820 -4.179 5.595
Ta -2.608 2.388 3.855
Ta -2.227 -1.814 1.361
Ta 0.389 2.399 4.582
Ta 1.851 1.709 1.937
Ta 2.792 0.475 4.398
Ta -1.911 -4.977 1.475
Ta 3.047 3.461 3.669
Ta 1.122 4.787 5.705
Ta -0.377 -0.112 3.353
Ta -5.744 -1.145 4.734
Ta -0.686 2.608 1.682
Ta -2.729 0.842 1.393
Ta -5.140 1.086 2.669
Ta 0.845 0.083 6.283
Ta -1.199 -1.682 5.994
Ta -0.810 4.828 3.281
Ta -3.592 3.898 1.583
Ta -1.538 -3.266 3.786
Ta 4.885 0.895 2.436
Ta 4.118 -2.193 3.600
Ta -3.132 -0.643 4.085
Ta 1.025 -4.866 3.163
Ta 2.356 -0.959 1.905
Ta 1.259 -2.198 4.526
Ta 0.322 -2.717 1.617
Al 0.000 0.000 0.000
```

Results
DFT total energy ... -11.448 eV/atom
Theoretical density ... 15.5 g cm⁻³



No. 3
Here is Ta10Al3 after structural relaxation from OQMD via LeMat-Bulk. Energies are from GGA-PBE.

The structure in extended XYZ format:
```
13
Lattice="0.291 -2.648 9.490 0.586 -7.299 6.598 5.073 -4.228 7.317" Properties=species:S:1:pos:R:3 pbc="T T T"
Ta 5.127 -9.301 18.048
Ta 2.912 -10.816 17.693
Ta 5.272 -11.596 16.621
Ta 3.037 -3.358 5.711
Ta 0.678 -2.578 6.783
Ta 2.098 -4.997 8.251
Ta 2.673 -6.367 10.513
Ta 3.852 -9.178 15.153
Ta 3.277 -7.807 12.891
Ta 0.823 -4.874 5.356
Al 0.989 -2.356 3.890
Al 0.000 0.000 0.000
Al 4.961 -11.819 19.514
```

Results
Energy above the lowest structure with this stoichiometry ... 47 meV per atom
DFT total energy ... -9.854 eV/atom
Theoretical density ... 12.9 g cm⁻³



No. 4
Here is Ta17Al12 after structural relaxation from OQMD via LeMat-Bulk. Energies are from GGA-PBE.

The structure in extended XYZ format:
```
29
Lattice="-4.985 -4.985 4.985 -4.985 4.985 -4.985 4.985 -4.985 -4.985" Properties=species:S:1:pos:R:3 pbc="T T T"
Ta -4.554 -1.346 -1.346
Ta -3.229 -3.229 3.229
Ta -1.756 -1.756 -1.756
Ta 3.229 -3.229 -3.229
Ta -1.346 -4.554 -1.346
Ta -3.639 0.431 -3.639
Ta 1.346 -1.346 -5.417
Ta -1.346 -1.346 -4.554
Ta -5.417 1.346 -1.346
Ta 1.346 -5.417 -1.346
Ta 0.431 -3.639 -3.639
Ta -3.229 3.229 -3.229
Ta -5.417 -1.346 1.346
Ta -3.639 -3.639 0.431
Ta 0.000 0.000 0.000
Ta -1.346 -5.417 1.346
Ta -1.346 1.346 -5.417
Al -2.220 -4.079 -4.079
Al -2.765 -0.906 0.906
Al -4.079 -4.079 -2.220
Al -4.079 -2.220 -4.079
Al -0.906 0.906 -2.765
Al 0.906 -2.765 -0.906
Al -7.205 -0.906 -0.906
Al -2.765 0.906 -0.906
Al -0.906 -0.906 -7.205
Al -0.906 -2.765 0.906
Al -0.906 -7.205 -0.906
Al 0.906 -0.906 -2.765
```

Results
Energy above the lowest structure with this stoichiometry ... 0 meV per atom
DFT total energy ... -8.643 eV/atom
Theoretical density ... 11.4 g cm⁻³



No. 5
Here is TaAl2 after structural relaxation from OQMD via LeMat-Bulk. Energies are from GGA-PBE.

The structure in extended XYZ format:
```
30
Lattice="9.847 0.000 0.000 0.000 9.847 0.000 0.000 0.000 5.197" Properties=species:S:1:pos:R:3 pbc="T T T"
Ta 1.303 4.720 0.000
Ta 0.000 0.000 0.000
Ta 4.924 4.924 2.598
Ta 5.127 8.544 0.000
Ta 9.643 3.620 2.598
Ta 0.204 6.227 2.598
Ta 6.227 0.204 2.598
Ta 3.620 9.643 2.598
Ta 8.544 5.127 0.000
Ta 4.720 1.303 0.000
Al 5.474 7.476 2.598
Al 7.992 7.992 1.291
Al 1.855 1.855 1.291
Al 0.550 7.294 0.000
Al 0.935 8.912 2.598
Al 8.912 0.935 2.598
Al 7.992 7.992 3.905
Al 3.068 6.779 3.890
Al 6.779 3.068 1.307
Al 4.373 2.371 2.598
Al 5.858 5.858 0.000
Al 3.989 3.989 0.000
Al 6.779 3.068 3.890
Al 2.553 9.297 0.000
Al 1.855 1.855 3.905
Al 7.476 5.474 2.598
Al 3.068 6.779 1.307
Al 9.297 2.553 0.000
Al 7.294 0.550 0.000
Al 2.371 4.373 2.598
```

Results
DFT total energy ... -6.544 eV/atom
Theoretical density ... 7.7 g cm⁻³



No. 6
Here is Ta8Al7 after structural relaxation from OQMD via LeMat-Bulk. Energies are from GGA-PBE.

The structure in extended XYZ format:
```
30
Lattice="9.836 0.000 0.000 0.000 9.836 0.000 0.000 0.000 5.307" Properties=species:S:1:pos:R:3 pbc="T T T"
Ta 9.464 3.628 2.653
Ta 3.628 9.464 2.653
Ta 3.150 6.687 3.972
Ta 1.768 1.768 3.988
Ta 5.290 8.546 0.000
Ta 6.687 3.150 3.972
Ta 0.372 6.209 2.653
Ta 8.068 8.068 3.988
Ta 1.290 4.546 0.000
Ta 6.209 0.372 2.653
Ta 1.768 1.768 1.319
Ta 8.546 5.290 0.000
Ta 6.687 3.150 1.334
Ta 4.546 1.290 0.000
Ta 3.150 6.687 1.334
Ta 8.068 8.068 1.319
Al 5.883 5.883 0.000
Al 5.580 7.543 2.653
Al 3.954 3.954 0.000
Al 0.662 7.211 0.000
Al 4.918 4.918 2.653
Al 4.256 2.293 2.653
Al 8.872 0.965 2.653
Al 7.543 5.580 2.653
Al 7.211 0.662 0.000
Al 2.293 4.256 2.653
Al 0.000 0.000 0.000
Al 0.965 8.872 2.653
Al 2.625 9.174 0.000
Al 9.174 2.625 0.000
```

Results
Energy above the lowest structure with this stoichiometry ... 0 meV per atom
DFT total energy ... -8.268 eV/atom
Theoretical density ... 10.6 g cm⁻³